Record 1
Below is a geometry-optimized CrCo2W structure, with properties calculated at the PBE-GGA level. Values from VASP.

Summary:
E, eV per atom: -8.6044
D(E_F), states/eV/atom: 0.996
Spin magnetization, μB/f.u.: 0.00
Calculated volume, A^3/atom: 12.9
Formation enthalpy at 0 K, eV per atom: 0.59

Quantum ESPRESSO input file:
```
&SYSTEM
  ibrav = 0, nat = 8, ntyp = 3
/
ATOMIC_SPECIES
W 183.84 W.upf
Co 58.93 Co.upf
Cr 52.00 Cr.upf
CELL_PARAMETERS angstrom
6.4157 0.0000 0.0000
0.0000 6.4157 0.0000
3.2078 3.2078 2.5060
ATOMIC_POSITIONS crystal
W 0.0000 0.0000 0.0000
W 0.7500 0.2500 0.5000
Co 0.3750 0.3994 0.7500
Co 0.1494 0.6250 0.2500
Co 0.8750 0.8506 0.7500
Co 0.6006 0.1250 0.2500
Cr 0.2500 0.7500 0.5000
Cr 0.5000 0.5000 0.0000
```

***

Record 2
Below is a geometry-optimized Cr2CoW structure, with properties calculated at the PBE-GGA level. Values from VASP.

Summary:
E, eV per atom: -9.5486
D(E_F), states/eV/atom: 1.437
Spin magnetization, μB/f.u.: 0.00
Calculated volume, A^3/atom: 12.7
Formation enthalpy at 0 K, eV per atom: 0.28

Quantum ESPRESSO input file:
```
&SYSTEM
  ibrav = 0, nat = 4, ntyp = 3
/
ATOMIC_SPECIES
Co 58.93 Co.upf
Cr 52.00 Cr.upf
W 183.84 W.upf
CELL_PARAMETERS angstrom
2.6080 0.0000 0.0000
0.0000 3.4611 0.0000
0.0000 0.0000 5.6116
ATOMIC_POSITIONS crystal
Co 0.5000 0.5000 0.7500
Cr 0.0000 0.0000 0.9618
Cr 0.0000 0.0000 0.5382
W 0.5000 0.5000 0.2500
```

***

Record 3
Below is a geometry-optimized CrCoW4 structure, with properties calculated at the PBE-GGA level. Values from VASP.

Summary:
E, eV per atom: -10.6824
D(E_F), states/eV/atom: 1.403
Spin magnetization, μB/f.u.: 3.71
Calculated volume, A^3/atom: 16.6
Formation enthalpy at 0 K, eV per atom: 0.74

Quantum ESPRESSO input file:
```
&SYSTEM
  ibrav = 0, nat = 6, ntyp = 3
/
ATOMIC_SPECIES
Co 58.93 Co.upf
W 183.84 W.upf
Cr 52.00 Cr.upf
CELL_PARAMETERS angstrom
4.1290 -1.8269 -2.5778
2.0086 -4.6286 1.2544
-0.5334 -4.0300 -3.2414
ATOMIC_POSITIONS crystal
Co 0.7500 0.7500 0.7500
W 0.3752 0.8745 0.3752
W 0.8745 0.3752 0.3752
W 0.3752 0.3752 0.3752
W 0.3752 0.3752 0.8745
Cr 0.0000 0.0000 0.0000
```

***

Record 4
Below is a geometry-optimized CrCo6W structure, with properties calculated at the PBE-GGA level. Values from VASP.

Summary:
E, eV per atom: -8.1455
D(E_F), states/eV/atom: 1.033
Spin magnetization, μB/f.u.: 1.55
Calculated volume, A^3/atom: 11.3
Formation enthalpy at 0 K, eV per atom: 0.01

Quantum ESPRESSO input file:
```
&SYSTEM
  ibrav = 0, nat = 32, ntyp = 3
/
ATOMIC_SPECIES
Co 58.93 Co.upf
Cr 52.00 Cr.upf
W 183.84 W.upf
CELL_PARAMETERS angstrom
-5.6950 0.4797 -2.3130
-0.3170 -1.9218 5.8497
-0.4597 9.5507 3.1128
ATOMIC_POSITIONS crystal
Co 0.3701 0.1227 0.8770
Co 0.1200 0.3729 0.3731
Co 0.3729 0.1200 0.3731
Co 0.2474 0.7526 0.0041
Co 0.1227 0.3701 0.6230
Co 0.3729 0.1200 0.1269
Co 0.1227 0.3701 0.8770
Co 0.6271 0.8800 0.3731
Co 0.5000 0.5000 0.7500
Co 0.8800 0.6271 0.3731
Co 0.3701 0.1227 0.6230
Co 0.1200 0.3729 0.1269
Co 0.6299 0.8773 0.6230
Co 0.0000 0.0000 0.7500
Co 0.8773 0.6299 0.6230
Co 0.6271 0.8800 0.1269
Co 0.0000 0.0000 0.2500
Co 0.5000 0.5000 0.2500
Co 0.8800 0.6271 0.1269
Co 0.8773 0.6299 0.8770
Co 0.7526 0.2474 0.0041
Co 0.2474 0.7526 0.4959
Co 0.6299 0.8773 0.8770
Co 0.7526 0.2474 0.4959
Cr 0.7474 0.2526 0.2500
Cr 0.0000 0.0000 0.4969
Cr 0.2526 0.7474 0.2500
Cr 0.0000 0.0000 0.0031
W 0.7477 0.2523 0.7500
W 0.5000 0.5000 0.0015
W 0.5000 0.5000 0.4985
W 0.2523 0.7477 0.7500
```

***

Record 5
Below is a geometry-optimized Cr2CoW structure, with properties calculated at the PBE-GGA level. Values from VASP.

Summary:
E, eV per atom: -9.5663
D(E_F), states/eV/atom: 1.278
Spin magnetization, μB/f.u.: 0.00
Calculated volume, A^3/atom: 12.7
Formation enthalpy at 0 K, eV per atom: 0.26

Quantum ESPRESSO input file:
```
&SYSTEM
  ibrav = 0, nat = 4, ntyp = 3
/
ATOMIC_SPECIES
Co 58.93 Co.upf
W 183.84 W.upf
Cr 52.00 Cr.upf
CELL_PARAMETERS angstrom
-2.1193 -0.2304 -1.4327
-1.4611 -2.2624 2.5250
-2.1522 4.1908 2.5096
ATOMIC_POSITIONS crystal
Co 0.5000 0.5000 0.7660
W 0.0000 0.0000 0.5075
Cr 0.0000 0.0000 0.9961
Cr 0.5000 0.5000 0.2304
```

***

Record 6
Below is a geometry-optimized CrCo2W structure, with properties calculated at the PBE-GGA level. Values from VASP.

Summary:
E, eV per atom: -9.1711
D(E_F), states/eV/atom: 0.502
Spin magnetization, μB/f.u.: 0.00
Calculated volume, A^3/atom: 12.0
Formation enthalpy at 0 K, eV per atom: 0.03

Quantum ESPRESSO input file:
```
&SYSTEM
  ibrav = 0, nat = 4, ntyp = 3
/
ATOMIC_SPECIES
Co 58.93 Co.upf
W 183.84 W.upf
Cr 52.00 Cr.upf
CELL_PARAMETERS angstrom
3.6343 0.0000 0.0000
0.0000 3.6346 0.0000
0.0000 0.0000 3.6412
ATOMIC_POSITIONS crystal
Co 0.5000 0.5000 0.0000
Co 0.0000 0.0000 0.0000
W 0.0000 0.5000 0.5000
Cr 0.5000 0.0000 0.5000
```

***

Record 7
Below is a geometry-optimized Cr2CoW structure, with properties calculated at the PBE-GGA level. Values from VASP.

Summary:
E, eV per atom: -9.6872
D(E_F), states/eV/atom: 0.844
Spin magnetization, μB/f.u.: 2.36
Calculated volume, A^3/atom: 12.8
Formation enthalpy at 0 K, eV per atom: 0.14

Quantum ESPRESSO input file:
```
&SYSTEM
  ibrav = 0, nat = 4, ntyp = 3
/
ATOMIC_SPECIES
Cr 52.00 Cr.upf
Co 58.93 Co.upf
W 183.84 W.upf
CELL_PARAMETERS angstrom
2.9490 0.0000 0.0000
0.0000 2.9490 0.0000
0.0000 0.0000 5.8766
ATOMIC_POSITIONS crystal
Cr 0.0000 0.0000 0.0093
Cr 0.5000 0.5000 0.2306
Co 0.5000 0.5000 0.7594
W 0.0000 0.0000 0.5007
```

***

Record 8
Below is a geometry-optimized Cr2CoW structure, with properties calculated at the PBE-GGA level. Values from VASP.

Summary:
E, eV per atom: -9.6502
D(E_F), states/eV/atom: 0.963
Spin magnetization, μB/f.u.: 3.02
Calculated volume, A^3/atom: 12.8
Formation enthalpy at 0 K, eV per atom: 0.18

Quantum ESPRESSO input file:
```
&SYSTEM
  ibrav = 0, nat = 4, ntyp = 3
/
ATOMIC_SPECIES
Co 58.93 Co.upf
W 183.84 W.upf
Cr 52.00 Cr.upf
CELL_PARAMETERS angstrom
-2.0206 -2.3766 2.7589
-0.5382 1.3424 3.9052
-3.7926 1.1056 1.3177
ATOMIC_POSITIONS crystal
Co 0.0000 0.0000 0.0000
W 0.5000 0.5000 0.5000
Cr 0.7500 0.7500 0.7500
Cr 0.2500 0.2500 0.2500
```

***

Record 9
Below is a geometry-optimized CrCoW2 structure, with properties calculated at the PBE-GGA level. Values from VASP.

Summary:
E, eV per atom: -10.5083
D(E_F), states/eV/atom: 0.753
Spin magnetization, μB/f.u.: 0.00
Calculated volume, A^3/atom: 13.7
Formation enthalpy at 0 K, eV per atom: 0.15

Quantum ESPRESSO input file:
```
&SYSTEM
  ibrav = 0, nat = 4, ntyp = 3
/
ATOMIC_SPECIES
Cr 52.00 Cr.upf
W 183.84 W.upf
Co 58.93 Co.upf
CELL_PARAMETERS angstrom
2.6518 -0.0212 0.0000
-0.6273 2.5766 0.0000
0.0000 0.0000 8.0604
ATOMIC_POSITIONS crystal
Cr 0.5000 0.5000 0.7252
W 0.0000 0.0000 0.9867
W 0.5000 0.5000 0.2725
Co 0.0000 0.0000 0.5156
```

***

Record 10
Below is a geometry-optimized Cr2CoW structure, with properties calculated at the PBE-GGA level. Values from VASP.

Summary:
E, eV per atom: -9.5885
D(E_F), states/eV/atom: 1.276
Spin magnetization, μB/f.u.: 0.00
Calculated volume, A^3/atom: 12.6
Formation enthalpy at 0 K, eV per atom: 0.24

Quantum ESPRESSO input file:
```
&SYSTEM
  ibrav = 0, nat = 4, ntyp = 3
/
ATOMIC_SPECIES
W 183.84 W.upf
Cr 52.00 Cr.upf
Co 58.93 Co.upf
CELL_PARAMETERS angstrom
4.6501 0.0016 0.0000
1.8648 4.2598 0.0000
-3.2574 -2.1307 2.5441
ATOMIC_POSITIONS crystal
W 0.2500 0.7500 0.5000
Cr 0.0000 0.0000 0.0000
Cr 0.5000 0.5000 0.0000
Co 0.7500 0.2500 0.5000
```

***

Record 11
Below is a geometry-optimized CrCoW2 structure, with properties calculated at the PBE-GGA level. Values from VASP.

Summary:
E, eV per atom: -10.4904
D(E_F), states/eV/atom: 1.016
Spin magnetization, μB/f.u.: 1.47
Calculated volume, A^3/atom: 13.7
Formation enthalpy at 0 K, eV per atom: 0.17

Quantum ESPRESSO input file:
```
&SYSTEM
  ibrav = 0, nat = 4, ntyp = 3
/
ATOMIC_SPECIES
Cr 52.00 Cr.upf
W 183.84 W.upf
Co 58.93 Co.upf
CELL_PARAMETERS angstrom
3.0552 0.0000 0.0000
0.0000 3.0552 0.0000
0.0000 0.0000 5.8750
ATOMIC_POSITIONS crystal
Cr 0.5000 0.5000 0.7500
W 0.0000 0.0000 0.5020
W 0.0000 0.0000 0.9980
Co 0.5000 0.5000 0.2500
```

***

Record 12
Below is a geometry-optimized CrCo2W structure, with properties calculated at the PBE-GGA level. Values from VASP.

Summary:
E, eV per atom: -9.0219
D(E_F), states/eV/atom: 1.057
Spin magnetization, μB/f.u.: 0.83
Calculated volume, A^3/atom: 12.3
Formation enthalpy at 0 K, eV per atom: 0.18

Quantum ESPRESSO input file:
```
&SYSTEM
  ibrav = 0, nat = 4, ntyp = 3
/
ATOMIC_SPECIES
W 183.84 W.upf
Co 58.93 Co.upf
Cr 52.00 Cr.upf
CELL_PARAMETERS angstrom
-2.3209 1.0923 -0.5235
-1.0228 -1.1583 2.1133
1.7871 5.7127 3.9961
ATOMIC_POSITIONS crystal
W 0.5000 0.5000 0.7615
Co 0.5000 0.5000 0.2495
Co 0.0000 0.0000 0.0182
Cr 0.0000 0.0000 0.4708
```

***

What did the fifth record say?
Below is a geometry-optimized Cr2CoW structure, with properties calculated at the PBE-GGA level. Values from VASP.

Summary:
E, eV per atom: -9.5663
D(E_F), states/eV/atom: 1.278
Spin magnetization, μB/f.u.: 0.00
Calculated volume, A^3/atom: 12.7
Formation enthalpy at 0 K, eV per atom: 0.26

Quantum ESPRESSO input file:
```
&SYSTEM
  ibrav = 0, nat = 4, ntyp = 3
/
ATOMIC_SPECIES
Co 58.93 Co.upf
W 183.84 W.upf
Cr 52.00 Cr.upf
CELL_PARAMETERS angstrom
-2.1193 -0.2304 -1.4327
-1.4611 -2.2624 2.5250
-2.1522 4.1908 2.5096
ATOMIC_POSITIONS crystal
Co 0.5000 0.5000 0.7660
W 0.0000 0.0000 0.5075
Cr 0.0000 0.0000 0.9961
Cr 0.5000 0.5000 0.2304
```

***

Among the records above, which one has the highest E?
CrCo6W

***

Repeat the third record exactly.
Below is a geometry-optimized CrCoW4 structure, with properties calculated at the PBE-GGA level. Values from VASP.

Summary:
E, eV per atom: -10.6824
D(E_F), states/eV/atom: 1.403
Spin magnetization, μB/f.u.: 3.71
Calculated volume, A^3/atom: 16.6
Formation enthalpy at 0 K, eV per atom: 0.74

Quantum ESPRESSO input file:
```
&SYSTEM
  ibrav = 0, nat = 6, ntyp = 3
/
ATOMIC_SPECIES
Co 58.93 Co.upf
W 183.84 W.upf
Cr 52.00 Cr.upf
CELL_PARAMETERS angstrom
4.1290 -1.8269 -2.5778
2.0086 -4.6286 1.2544
-0.5334 -4.0300 -3.2414
ATOMIC_POSITIONS crystal
Co 0.7500 0.7500 0.7500
W 0.3752 0.8745 0.3752
W 0.8745 0.3752 0.3752
W 0.3752 0.3752 0.3752
W 0.3752 0.3752 0.8745
Cr 0.0000 0.0000 0.0000
```

***

Among the records above, which one has the highest formation enthalpy at 0 K?
CrCoW4